Record 1
Below is an optimized crystal structure of PmPu5Se8, with properties calculated at the PBE level.

```
PmPu5Se8
1.0
-6.777 -2.511 -2.386
4.928 -5.796 0.195
-0.704 2.966 6.973
Pu Se Pm
5 8 1
direct
0.375 0.124 0.998
0.749 0.624 0.625
0.002 0.376 0.126
0.874 0.876 0.251
0.500 0.000 0.500
0.274 0.249 0.372
0.628 0.901 0.876
0.627 0.402 0.877
0.123 0.750 0.525
0.975 0.099 0.726
0.475 0.598 0.225
0.775 0.250 0.373
0.124 0.751 0.025
0.250 0.500 0.750
```

## Properties
Density (g/cm3): 9.77
Energy relative to the elements, uncorrected (kJ/mol of atoms): -152.60
SG: I-4

---

Record 2
Below is an optimized crystal structure of Li5Nd2Cu5, with properties calculated at the PBE level.

```
Li5Nd2Cu5
1.0
-3.174 2.753 1.369
0.004 -2.310 4.652
6.267 5.797 2.872
Nd Li Cu
2 5 5
direct
0.000 0.000 0.500
0.000 0.500 0.000
0.500 0.753 0.243
0.500 0.500 0.500
0.500 0.247 0.757
0.500 0.753 0.757
0.500 0.247 0.243
0.500 0.000 0.000
0.000 0.500 0.665
0.000 0.000 0.158
0.000 0.500 0.335
0.000 0.000 0.842
```

## Properties
Density (g/cm3): 5.15
ΔE_f (eV/f.u.): -0.93
SG: Pmmm

---

Record 3
Below is an optimized crystal structure of Hg4IrSe, with properties calculated at the PBE level.

```
Hg4IrSe
1.0
0.000 4.044 4.044
4.044 0.000 4.044
4.044 4.044 0.000
Hg Se Ir
4 1 1
direct
0.375 0.375 0.375
0.375 0.874 0.375
0.375 0.375 0.874
0.874 0.375 0.375
0.000 0.000 0.000
0.750 0.750 0.750
```

## Properties
Density (g/cm3): 13.48
Energy relative to the elements, uncorrected (kJ/mol of atoms): 81.03
SG: F-43m

---

Record 4
Below is an optimized crystal structure of Tc2SbCl, with properties calculated at the PBE level.

```
Tc2SbCl
1.0
5.305 -0.029 0.002
-2.082 4.879 0.002
0.839 1.263 2.704
Tc Sb Cl
2 1 1
direct
0.500 0.500 0.000
0.000 0.000 0.000
0.000 0.500 0.500
0.500 0.000 0.500
```

## Properties
Density (g/cm3): 8.40
Energy above the most stable polymorph in this dataset (meV per atom): 896
Energy relative to the elements, uncorrected (kJ/mol of atoms): 77.75
SG: C2/m

---

Record 5
Below is an optimized crystal structure of AuSeN2F, with properties calculated at the PBE level.

```
AuSeN2F
1.0
3.960 0.000 0.000
0.000 3.960 0.000
0.000 0.000 4.092
Au N F Se
1 2 1 1
direct
0.500 0.500 0.500
0.500 0.000 0.000
0.000 0.500 0.000
0.000 0.000 0.500
0.000 0.000 0.000
```

## Properties
Density (g/cm3): 8.36
Energy above the most stable polymorph in this dataset (meV per atom): 0
Energy relative to the elements, uncorrected (kJ/mol of atoms): 125.13
SG: P4/mmm

---

Record 6
Below is an optimized crystal structure of PmPrIrPd, with properties calculated at the PBE level.

```
PmPrIrPd
1.0
-0.288 -2.276 3.157
3.851 1.726 1.596
-2.655 5.027 0.971
Pr Pm Ir Pd
1 1 1 1
direct
0.140 0.000 0.281
0.864 0.500 0.727
0.413 0.000 0.825
0.583 0.500 0.167
```

## Properties
Density (g/cm3): 10.16
ΔE_f (eV/f.u.): -2.92
Energy above the most stable polymorph in this dataset (meV per atom): 0
SG: Amm2

---

Record 7
Below is an optimized crystal structure of Pu4GeRh4, with properties calculated at the PBE level.

```
Pu4GeRh4
1.0
-0.090 -4.830 -0.101
5.353 -2.483 -1.629
1.531 -2.557 5.347
Rh Pu Ge
4 4 1
direct
0.980 0.354 0.687
0.667 0.313 0.354
0.020 0.646 0.313
0.333 0.687 0.646
0.339 0.300 0.022
0.661 0.700 0.978
0.639 0.022 0.700
0.361 0.978 0.300
0.000 0.000 0.000
```

## Properties
Density (g/cm3): 15.86
ΔE_f (eV/f.u.): -1.76
SG: I4/m

---

Record 8
Below is an optimized crystal structure of CePmMgRu, with properties calculated at the PBE level.

```
CePmMgRu
1.0
-4.218 0.865 2.756
0.236 -0.008 5.107
-0.509 4.379 2.589
Ce Pm Mg Ru
1 1 1 1
direct
0.000 0.000 0.000
0.500 0.500 0.500
0.250 0.250 0.250
0.750 0.750 0.750
```

## Properties
Density (g/cm3): 7.21
ΔE_f (eV/f.u.): -0.24
SG: F-43m

---

Record 9
Below is an optimized crystal structure of BaY2Al, with properties calculated at the PBE level.

```
BaY2Al
1.0
-3.087 1.905 -1.269
-1.388 -3.252 -1.505
-4.381 -1.807 7.946
Y Al Ba
2 1 1
direct
0.000 0.000 0.054
0.500 0.500 0.292
0.000 0.000 0.449
0.500 0.500 0.706
```

## Properties
Density (g/cm3): 4.16
ΔE_f (eV/f.u.): -0.13
SG: P4mm

---

Record 10
Below is an optimized crystal structure of Tb12ZnRu6, with properties calculated at the PBE level.

```
Tb12ZnRu6
1.0
-5.902 1.619 5.438
4.099 -5.936 3.870
5.000 6.373 1.184
Tb Ru Zn
12 6 1
direct
0.558 0.178 0.416
0.584 0.442 0.822
0.079 0.932 0.332
0.178 0.416 0.558
0.332 0.079 0.932
0.442 0.822 0.584
0.932 0.332 0.079
0.822 0.584 0.442
0.668 0.921 0.068
0.921 0.068 0.668
0.068 0.668 0.921
0.416 0.558 0.178
0.698 0.862 0.387
0.387 0.698 0.862
0.302 0.138 0.613
0.613 0.302 0.138
0.862 0.387 0.698
0.138 0.613 0.302
0.000 0.000 0.000
```

## Properties
Density (g/cm3): 8.33
ΔE_f (eV/f.u.): -2.73
Energy above the most stable polymorph in this dataset (meV per atom): 104
SG: R-3

---

Record 11
Below is an optimized crystal structure of ScCo2Rh, with properties calculated at the PBE level.

```
ScCo2Rh
1.0
0.000 3.035 3.035
3.035 0.000 3.035
3.035 3.035 0.000
Sc Rh Co
1 1 2
direct
0.000 0.000 0.000
0.500 0.500 0.500
0.750 0.750 0.750
0.250 0.250 0.250
```

## Properties
Density (g/cm3): 7.90
ΔE_f (eV/f.u.): -0.63
SG: Fm-3m

---

Record 12
Below is an optimized crystal structure of Rb3SmDy2Se6, with properties calculated at the PBE level.

```
Rb3SmDy2Se6
1.0
7.396 -0.001 0.000
-3.697 6.406 0.000
-1.234 -2.136 8.002
Dy Rb Se Sm
2 3 6 1
direct
0.333 0.667 0.000
0.667 0.333 0.000
0.834 0.166 0.500
0.166 0.834 0.500
0.500 0.500 0.500
0.066 0.404 0.197
0.273 0.273 0.804
0.727 0.727 0.196
0.596 0.934 0.803
0.404 0.066 0.197
0.934 0.596 0.803
0.000 0.000 0.000
```

## Properties
Density (g/cm3): 5.28
Energy relative to the elements, uncorrected (kJ/mol of atoms): -167.74
SG: C2/m